# 1
DFT (PBE) results for a geometry-optimized Cr2Ru2Rh7 structure.

The structure in POSCAR format:
```
Cr2Ru2Rh7
1.0
4.464 -3.978 0.000
4.464 3.978 0.000
-0.880 0.000 4.581
Cr Ru Rh
2 2 7
Cartesian
-0.019 0.000 0.977
8.067 0.000 3.605
4.464 1.362 0.000
4.464 -1.362 0.000
2.070 1.387 1.160
1.555 0.000 3.375
2.070 -1.387 1.160
4.024 0.000 2.291
5.978 1.387 3.421
6.493 0.000 1.207
5.978 -1.387 3.421
```

Output
Space group: C2/m
Fermi-level density of states, states/eV/cell: 14.14
Calculated volume, Å³ per atom: 14.8
Calculated formation energy, meV per atom: 287
Total energy, eV/atom: -7.827
Spin magnetization, μB/cell: 0.00

---

# 2
DFT (PBE) results for a geometry-optimized Cr4RuRh7 structure.

The structure in POSCAR format:
```
Cr4RuRh7
1.0
4.924 0.000 0.000
-0.419 4.975 0.000
-1.737 -0.253 6.819
Cr Ru Rh
4 1 7
Cartesian
0.196 0.781 1.551
-0.082 3.107 5.330
2.851 1.615 1.489
2.573 3.942 5.268
1.594 -0.126 3.410
-0.981 1.114 3.803
0.549 3.239 0.882
-0.194 0.553 6.279
1.384 2.361 3.410
2.963 4.170 0.541
2.219 1.484 5.938
3.749 3.609 3.016
```

Output
Space group: P-1
Fermi-level density of states, states/eV/cell: 15.86
Calculated volume, Å³ per atom: 13.9
Calculated formation energy, meV per atom: 94
Total energy, eV/atom: -8.175
Spin magnetization, μB/cell: 0.68

---

# 3
DFT (PBE) results for a geometry-optimized Cr5RuRh6 structure.

The structure in POSCAR format:
```
Cr5RuRh6
1.0
-1.890 3.738 5.689
1.890 -3.738 5.689
1.890 3.738 -5.689
Cr Ru Rh
5 1 6
Cartesian
0.000 0.000 0.000
1.890 0.000 1.894
0.000 0.000 3.823
0.000 0.000 7.554
0.000 3.738 3.794
0.000 3.738 0.000
1.890 -1.889 3.783
1.890 1.831 0.000
0.000 1.849 1.906
1.890 1.889 3.783
0.000 1.907 5.689
0.000 5.627 1.906
```

Output
Space group: Immm
Fermi-level density of states, states/eV/cell: 11.85
Calculated volume, Å³ per atom: 13.4
Calculated formation energy, meV per atom: -66
Total energy, eV/atom: -8.524
Spin magnetization, μB/cell: 0.61

---

# 4
DFT (PBE) results for a geometry-optimized CrRu2Rh structure.

The structure in POSCAR format:
```
CrRu2Rh
1.0
4.126 0.000 0.000
0.000 1.350 4.885
0.000 -1.350 4.885
Cr Ru Rh
1 2 1
Cartesian
0.000 0.000 0.000
0.000 0.000 2.588
2.063 0.000 8.524
2.063 0.000 5.933
```

Output
Space group: Amm2
Fermi-level density of states, states/eV/cell: 4.37
Calculated volume, Å³ per atom: 13.6
Calculated formation energy, meV per atom: 57
Total energy, eV/atom: -8.825
Spin magnetization, μB/cell: 0.00

---

# 5
DFT (PBE) results for a geometry-optimized CrRu2Rh structure.

The structure in POSCAR format:
```
CrRu2Rh
1.0
2.165 1.250 3.503
-2.165 1.250 3.503
0.000 -2.500 3.503
Cr Ru Rh
1 2 1
Cartesian
0.000 0.000 0.000
0.000 0.000 5.258
0.000 0.000 7.957
0.000 0.000 2.587
```

Output
Space group: R3m
Fermi-level density of states, states/eV/cell: 6.45
Calculated volume, Å³ per atom: 14.2
Calculated formation energy, meV per atom: 383
Total energy, eV/atom: -8.499
Spin magnetization, μB/cell: 1.15

---

# 6
DFT (PBE) results for a geometry-optimized CrRu2Rh structure.

The structure in POSCAR format:
```
CrRu2Rh
1.0
2.689 0.000 0.000
0.000 3.751 0.000
0.000 0.000 5.380
Cr Ru Rh
1 2 1
Cartesian
0.000 0.000 0.000
0.000 0.000 2.773
1.344 1.875 4.054
1.344 1.875 1.313
```

Output
Space group: Pmm2
Fermi-level density of states, states/eV/cell: 3.98
Calculated volume, Å³ per atom: 13.6
Calculated formation energy, meV per atom: 47
Total energy, eV/atom: -8.834
Spin magnetization, μB/cell: 0.83

---

# 7
DFT (PBE) results for a geometry-optimized Cr2RuRh4 structure.

The structure in POSCAR format:
```
Cr2RuRh4
1.0
3.419 -3.997 0.000
3.419 3.997 0.000
0.000 0.000 3.726
Cr Ru Rh
2 1 4
Cartesian
3.419 2.204 0.000
3.419 -2.204 0.000
0.000 0.000 1.863
1.710 1.999 1.863
2.010 0.000 0.000
1.710 -1.999 1.863
4.829 0.000 0.000
```

Output
Space group: Cmmm
Fermi-level density of states, states/eV/cell: 9.60
Calculated volume, Å³ per atom: 14.5
Calculated formation energy, meV per atom: 147
Total energy, eV/atom: -8.128
Spin magnetization, μB/cell: 2.66

---

# 8
DFT (PBE) results for a geometry-optimized CrRu3Rh structure.

The structure in POSCAR format:
```
CrRu3Rh
1.0
5.980 0.000 0.000
0.000 3.788 0.000
-0.054 0.000 6.005
Cr Ru Rh
2 6 2
Cartesian
0.274 0.947 2.085
5.652 2.841 3.920
0.851 2.841 0.344
1.379 0.947 4.445
1.993 2.841 2.718
3.934 0.947 3.287
4.548 2.841 1.560
5.075 0.947 5.661
2.667 0.947 0.929
3.260 2.841 5.075
```

Output
Space group: P2_1/m
Fermi-level density of states, states/eV/cell: 12.10
Calculated volume, Å³ per atom: 13.6
Calculated formation energy, meV per atom: 63
Total energy, eV/atom: -8.897
Spin magnetization, μB/cell: 0.00